1.
Here is a geometry-optimized ScPa2F8 structure from Alexandria via LeMat-Bulk. Energies are from PBE.

Values from the calculation:
formation energy from raw total energies	-3263	meV/atom
theoretical density	5.65	g/cm³

Lattice parameters (Å, degrees): 6.234 6.234 6.822 96.61 96.61 47.45
Fractional positions:
Sc: 0.000 0.000 0.000
Pa: 0.135 0.135 0.566
Pa: 0.865 0.865 0.434
F: 0.140 0.140 0.222
F: 0.160 0.663 0.167
F: 0.337 0.840 0.833
F: 0.338 0.338 0.527
F: 0.662 0.662 0.473
F: 0.663 0.160 0.167
F: 0.840 0.337 0.833
F: 0.860 0.860 0.778

=====

2.
Here is a geometry-optimized Li3Pa2TcN6 structure from Alexandria via LeMat-Bulk. Energies are from PBE.

Values from the calculation:
formation energy from raw total energies	-857	meV/atom
theoretical density	7.40	g/cm³

Lattice parameters (Å, degrees): 5.863 5.863 5.341 98.75 98.75 121.27
Fractional positions:
Li: 0.000 0.000 0.000
Li: 0.373 0.627 0.000
Li: 0.627 0.373 0.000
Pa: 0.167 0.833 0.500
Pa: 0.833 0.167 0.500
Tc: 0.500 0.500 0.500
N: 0.128 0.436 0.288
N: 0.241 0.241 0.719
N: 0.436 0.128 0.288
N: 0.564 0.872 0.712
N: 0.759 0.759 0.281
N: 0.872 0.564 0.712

=====

3.
Here is a geometry-optimized RbNbCl3 structure from Alexandria via LeMat-Bulk. Energies are from PBE.

Values from the calculation:
formation energy from raw total energies	-1160	meV/atom
theoretical density	3.43	g/cm³

Lattice parameters (Å, degrees): 5.168 5.168 5.168 90.00 90.00 90.00
Fractional positions:
Rb: 0.000 0.000 0.000
Nb: 0.500 0.500 0.500
Cl: 0.000 0.500 0.500
Cl: 0.500 0.000 0.500
Cl: 0.500 0.500 0.000

=====

4.
Here is a geometry-optimized RbGa2Pb2Br7 structure from Alexandria via LeMat-Bulk. Energies are from PBE.

Values from the calculation:
formation energy from raw total energies	-910	meV/atom
theoretical density	4.32	g/cm³

Lattice parameters (Å, degrees): 12.968 12.968 12.968 152.68 39.12 152.55
Fractional positions:
Rb: 0.000 0.000 0.000
Ga: 0.130 0.381 0.749
Ga: 0.633 0.381 0.251
Pb: 0.271 0.892 0.379
Pb: 0.512 0.892 0.621
Br: 0.135 0.880 0.254
Br: 0.264 0.380 0.885
Br: 0.326 0.826 0.500
Br: 0.495 0.380 0.115
Br: 0.626 0.880 0.746
Br: 0.761 0.380 0.381
Br: 0.999 0.380 0.619

=====

5.
Here is a geometry-optimized VFe2SiTc structure from Alexandria via LeMat-Bulk. Energies are from PBE.

Values from the calculation:
formation energy from raw total energies	1382	meV/atom
theoretical density	5.34	g/cm³

Lattice parameters (Å, degrees): 4.502 4.502 4.432 90.00 90.00 90.00
Fractional positions:
V: 0.000 0.000 0.000
Fe: 0.000 0.500 0.500
Fe: 0.500 0.000 0.500
Si: 0.500 0.500 0.000
Tc: 0.000 0.000 0.500

=====

6.
Here is a geometry-optimized Mg2TaNbIr structure from Alexandria via LeMat-Bulk. Energies are from PBE.

Values from the calculation:
theoretical density	7.38	g/cm³
calculated formation energy	1.737	eV per atom

Lattice parameters (Å, degrees): 4.960 4.960 4.708 90.00 90.00 90.00
Fractional positions:
Mg: 0.000 0.500 0.000
Mg: 0.500 0.000 0.000
Ta: 0.000 0.000 0.500
Nb: 0.000 0.000 0.000
Ir: 0.500 0.500 0.500

=====

7.
Here is a geometry-optimized Li2Nd2TaN4 structure from Alexandria via LeMat-Bulk. Energies are from PBE.

Values from the calculation:
formation energy from raw total energies	-883	meV/atom
theoretical density	8.24	g/cm³

Lattice parameters (Å, degrees): 6.285 6.285 5.862 109.67 109.67 30.07
Fractional positions:
Li: 0.179 0.179 0.006
Li: 0.821 0.821 0.994
Nd: 0.363 0.363 0.435
Nd: 0.637 0.637 0.565
Ta: 0.500 0.500 0.000
N: 0.021 0.021 0.770
N: 0.306 0.306 0.797
N: 0.694 0.694 0.203
N: 0.979 0.979 0.230

=====

8.
Here is a geometry-optimized ErPuTcAu structure from Alexandria via LeMat-Bulk. Energies are from PBE.

Values from the calculation:
theoretical density	13.84	g/cm³
calculated formation energy	-0.188	eV per atom

Lattice parameters (Å, degrees): 4.930 4.930 4.930 60.00 60.00 60.00
Fractional positions:
Er: 0.000 0.000 0.000
Pu: 0.500 0.500 0.500
Tc: 0.250 0.250 0.250
Au: 0.750 0.750 0.750

=====

9.
Here is a geometry-optimized Re4Tc2Os3 structure from Alexandria via LeMat-Bulk. Energies are from PBE.

Values from the calculation:
theoretical density	18.45	g/cm³
calculated formation energy	0.198	eV per atom

Lattice parameters (Å, degrees): 4.958 6.893 8.885 110.99 101.16 96.97
Fractional positions:
Re: 0.001 0.357 0.053
Re: 0.129 0.587 0.654
Re: 0.349 0.352 0.837
Re: 0.369 0.416 0.338
Re: 0.631 0.584 0.662
Re: 0.651 0.648 0.163
Re: 0.871 0.413 0.346
Re: 0.999 0.643 0.947
Tc: 0.017 0.018 0.166
Tc: 0.188 0.173 0.503
Tc: 0.812 0.827 0.497
Tc: 0.983 0.982 0.834
Os: 0.205 0.766 0.323
Os: 0.393 0.950 0.670
Os: 0.489 0.193 0.057
Os: 0.511 0.807 0.943
Os: 0.607 0.050 0.330
Os: 0.795 0.234 0.677

=====

10.
Here is a geometry-optimized CePrHo5Tm2 structure from Alexandria via LeMat-Bulk. Energies are from PBE.

Values from the calculation:
theoretical density	8.28	g/cm³
calculated formation energy	0.180	eV per atom

Lattice parameters (Å, degrees): 11.071 11.071 9.553 90.00 90.00 150.36
Fractional positions:
Ce: 0.197 0.803 0.500
Ce: 0.803 0.197 0.000
Pr: 0.403 0.597 0.897
Pr: 0.597 0.403 0.397
Ho: 0.012 0.988 0.493
Ho: 0.266 0.734 0.811
Ho: 0.307 0.693 0.194
Ho: 0.394 0.606 0.514
Ho: 0.471 0.529 0.221
Ho: 0.529 0.471 0.721
Ho: 0.606 0.394 0.014
Ho: 0.693 0.307 0.694
Ho: 0.734 0.266 0.311
Ho: 0.988 0.012 0.993
Tm: 0.113 0.887 0.797
Tm: 0.140 0.860 0.177
Tm: 0.860 0.140 0.677
Tm: 0.887 0.113 0.297

=====

11.
Here is a geometry-optimized AgSnSbPd structure from Alexandria via LeMat-Bulk. Energies are from PBE.

Values from the calculation:
formation energy from raw total energies	-79	meV/atom
theoretical density	8.96	g/cm³

Lattice parameters (Å, degrees): 4.921 4.921 4.921 60.00 60.00 60.00
Fractional positions:
Ag: 0.000 0.000 0.000
Sn: 0.750 0.750 0.750
Sb: 0.250 0.250 0.250
Pd: 0.500 0.500 0.500

=====

12.
Here is a geometry-optimized RbGdF2 structure from Alexandria via LeMat-Bulk. Energies are from PBE.

Values from the calculation:
formation energy from raw total energies	-2511	meV/atom
theoretical density	4.25	g/cm³

Lattice parameters (Å, degrees): 7.885 7.885 7.885 30.16 30.16 30.16
Fractional positions:
Rb: 0.000 0.000 0.000
Gd: 0.500 0.500 0.500
F: 0.142 0.142 0.142
F: 0.858 0.858 0.858